The following is a GGA-PBE calculation of a geometry-optimized Cd2SiAs structure, from Alexandria via LeMat-Bulk.

**Space group**: R3m, No. 160
**Magnetization**: 0.0 μB per cell
**E**: -2.716 eV per atom
**N(E_F)**: 0.19 states/eV/atom
**Calculated volume**: 22.1 Å³ per atom
**ΔE_f (raw)**: 260 meV per atom

Structure (POSCAR):
```
Cd2SiAs
1.0
1.5466 0.8929 10.6630
-1.5466 0.8929 10.6630
0.0000 -1.7859 10.6630
Cd Si As
2 1 1
direct
0.0000 0.0000 0.0000
0.2377 0.2377 0.2377
0.4909 0.4909 0.4909
0.7683 0.7683 0.7683
```